# GdZnInHg

A relaxed structure of GdZnInHg (GGA-PBE, Alexandria via LeMat-Bulk).

Structure (POSCAR):
```
GdZnInHg
1.0
-4.9015 -0.8665 0.9082
-1.4057 -2.3774 4.2394
-2.3845 2.5528 3.6602
In Hg Zn Gd
1 1 1 1
direct
0.2500 0.2500 0.2500
0.5000 0.5000 0.5000
0.0000 0.0000 0.0000
0.7500 0.7500 0.7500
```

DFT total energy, eV per atom: -4.923
ΔH_f (0 K), eV/atom: -0.325
Density of states at the Fermi level, states/eV per cell: 1.7
Crystal system: cubic